A:
DFT (PBE+U) results for an optimized crystal structure of LiVN2F.

Output
symmetry = P4/mmm, No. 123
total magnetization = 0.382 μB/f.u.
density = 3029 kg/m3

abc: 3.7663 3.7663 4.0538
angles: 90.00 90.00 90.00
Closest atoms and distances in Å follow each position.
Element x y z (fractional)
Li 0.0000 0.0000 0.0000  4 F 2.66, 8 N 2.77
V 0.5000 0.5000 0.5000  4 N 1.88, 2 F 2.03
N 0.0000 0.5000 0.5000  2 V 1.88
N 0.5000 0.0000 0.5000  2 V 1.88
F 0.5000 0.5000 0.0000  2 V 2.03

B:
DFT (PBE+U) results for an optimized crystal structure of LiVN2F.

Output
symmetry = P4/mmm, No. 123
total magnetization = 0.000 μB/f.u.
density = 4010 kg/m3

abc: 3.6123 3.6123 3.3286
angles: 90.00 90.00 90.00
Closest atoms and distances in Å follow each position.
Element x y z (fractional)
Li 0.0000 0.0000 0.0000  2 F 1.66, 4 N 1.81
V 0.5000 0.5000 0.5000  8 N 2.46, 4 F 2.55
N 0.0000 0.5000 0.0000  2 Li 1.81
N 0.5000 0.0000 0.0000  2 Li 1.81
F 0.0000 0.0000 0.5000  2 Li 1.66

The most stable arrangement is A, and the next structure is 1.217 eV/atom less stable.

A:
DFT (PBE+U) results for an optimized crystal structure of LiWN2F.

Output
symmetry = P4/mmm, No. 123
total magnetization = 0.000 μB/f.u.
density = 8340 kg/m3

abc: 3.9519 3.9519 3.0318
angles: 90.00 90.00 90.00
Closest atoms and distances in Å follow each position.
Element x y z (fractional)
Li 0.0000 0.0000 0.0000  2 F 1.52
W 0.5000 0.5000 0.0000  8 N 2.49
N 0.0000 0.5000 0.5000  2 F 1.98
N 0.5000 0.0000 0.5000  2 F 1.98
F 0.0000 0.0000 0.5000  2 Li 1.52

B:
DFT (PBE+U) results for an optimized crystal structure of LiWN2F.

Output
symmetry = P4/mmm, No. 123
total magnetization = 0.532 μB/f.u.
density = 8630 kg/m3

abc: 3.7264 3.7264 3.2949
angles: 90.00 90.00 90.00
Closest atoms and distances in Å follow each position.
Element x y z (fractional)
Li 0.0000 0.0000 0.0000  2 F 1.65
W 0.5000 0.5000 0.5000  8 N 2.49, 4 F 2.63
N 0.0000 0.5000 0.0000  2 Li 1.86
N 0.5000 0.0000 0.0000  2 Li 1.86
F 0.0000 0.0000 0.5000  2 Li 1.65

C:
DFT (PBE+U) results for an optimized crystal structure of LiWN2F.

Output
symmetry = P4/mmm, No. 123
total magnetization = 0.058 μB/f.u.
density = 6128 kg/m3

abc: 3.9567 3.9567 4.1159
angles: 90.00 90.00 90.00
Closest atoms and distances in Å follow each position.
Element x y z (fractional)
Li 0.0000 0.0000 0.0000  4 F 2.80, 8 N 2.85
W 0.5000 0.5000 0.5000  4 N 1.98, 2 F 2.06
N 0.0000 0.5000 0.5000  2 W 1.98
N 0.5000 0.0000 0.5000  2 W 1.98
F 0.5000 0.5000 0.0000  2 W 2.06

The most stable arrangement is C, and the next structure is 1.060 eV/atom less stable.